w:
This record from Alexandria describes crystalline In2SiS at its relaxed geometry. The functional is PBE.

Lattice parameters (Å, degrees): 6.0187 6.0187 7.4907 66.31 66.31 90.00
Closest atoms and distances in Å follow each position.
Element x y z (fractional)
In (0.1382, 0.6250, 0.2500)  2 Si 2.58, 2 S 2.67
S (0.7500, 0.2500, 0.5000)  4 In 2.67
In (0.3750, 0.3882, 0.7500)  2 Si 2.58, 2 S 2.67
Si (0.5000, 0.5000, 0.0000)  4 In 2.58
In (0.6118, 0.1250, 0.2500)  2 Si 2.58, 2 S 2.67
In (0.8750, 0.8618, 0.7500)  2 Si 2.58, 2 S 2.67
S (0.0000, 0.0000, 0.0000)  4 In 2.67
Si (0.2500, 0.7500, 0.5000)  4 In 2.58

Symmetry: No. 122

x:
This record from Alexandria describes crystalline In2SiS at its relaxed geometry. The functional is PBE.

Lattice parameters (Å, degrees): 4.9506 4.9506 4.9506 60.00 60.00 60.00
Closest atoms and distances in Å follow each position.
Element x y z (fractional)
In (0.7500, 0.7500, 0.7500)  4 S 3.03, 4 Si 3.03
In (0.2500, 0.2500, 0.2500)  4 S 3.03, 4 Si 3.03
S (0.5000, 0.5000, 0.5000)  8 In 3.03
Si (0.0000, 0.0000, 0.0000)  8 In 3.03

Symmetry: No. 225

Stability ranking, top entry: w; the second entry is 458 meV per atom less favorable.